Entry 1:
Computed, not measured: crystalline Ga3Ni12Sn at its relaxed geometry at the PBEsol level of DFT.

abc: 3.5769 3.5769 14.1638
angles: 90.00 90.00 90.00
Last column: nearest neighbours and their distance in Å.
Space group P4/mmm (No. 123)
Unique sites:
Ga 0.0000 0.0000 0.0000 [1 per cell]  12 Ni 2.49-2.53
Ga 0.0000 0.0000 0.2441 [2 per cell]  12 Ni 2.49-2.53
Ni 0.0000 0.5000 0.1222 [4 per cell]  4 Ga 2.49, 8 Ni 2.49-2.53
Ni 0.0000 0.5000 0.3661 [4 per cell]  8 Ni 2.48-2.61, 2 Ga 2.49, 2 Sn 2.61
Ni 0.5000 0.5000 0.0000 [1 per cell]  8 Ni 2.49, 4 Ga 2.53
Ni 0.5000 0.5000 0.2446 [2 per cell]  8 Ni 2.48-2.49, 4 Ga 2.53
Ni 0.5000 0.5000 0.5000 [1 per cell]  4 Sn 2.53, 8 Ni 2.61
Sn 0.0000 0.0000 0.5000 [1 per cell]  12 Ni 2.53-2.61

## Properties
* DOS at the Fermi energy: 16.75 states/eV/cell
* ΔH_f (0 K): -0.29 eV/atom

=====

Entry 2:
Computed, not measured: crystalline Fe3Co2 at its relaxed geometry at the PBEsol level of DFT.

abc: 11.5014 3.9428 2.4253
angles: 90.00 97.62 90.00
Last column: nearest neighbours and their distance in Å.
Space group C2/m (No. 12)
Unique sites:
Fe 0.0000 0.0000 0.0000 [2 per cell]  2 Co 2.41, 6 Fe 2.42-2.43
Fe 0.1013 0.5000 0.3986 [4 per cell]  3 Co 2.40, 5 Fe 2.42-2.44
Co 0.1993 0.0000 0.7905 [4 per cell]  4 Fe 2.40-2.41, 4 Co 2.43-2.44

## Properties
* DOS at the Fermi energy: 7.94 states/eV/cell
* ΔH_f (0 K): 0.03 eV/atom

=====

Entry 3:
Computed, not measured: crystalline TcSeSN2 at its relaxed geometry at the PBEsol level of DFT.

abc: 3.7547 3.7547 5.0906
angles: 90.00 90.00 90.00
Last column: nearest neighbours and their distance in Å.
Space group P4/mmm (No. 123)
Unique sites:
Tc 0.0000 0.0000 0.0000 [1 per cell]  4 N 1.88
Se 0.5000 0.5000 0.5000 [1 per cell]  4 S 2.65
S 0.0000 0.0000 0.5000 [1 per cell]  2 Tc 2.55, 4 Se 2.65
N 0.0000 0.5000 0.0000 [2 per cell]  2 Tc 1.88

## Properties
* DOS at the Fermi energy: 3.39 states/eV/cell
* energy relative to the elements, uncorrected: 0.58 eV/atom